1 | The following is a PBE calculation of an optimized crystal structure of TbDyNO, from the Open Quantum Materials Database.

a b c (Å): 4.2675 4.2675 7.8931
angles (deg): 90.00 90.00 90.00
Last column: nearest neighbours and their distance in Å.
Fractional coordinates of all 8 atoms:
1 Tb 0.2500 0.7500 0.0000  4 N 2.35
2 Tb 0.7500 0.2500 0.0000  4 N 2.35
3 Dy 0.2500 0.2500 0.3978  4 O 2.28
4 Dy 0.7500 0.7500 0.6022  4 O 2.28
5 N 0.2500 0.2500 0.8758  4 Tb 2.35
6 N 0.7500 0.7500 0.1242  4 Tb 2.35
7 O 0.2500 0.7500 0.5000  4 Dy 2.28
8 O 0.7500 0.2500 0.5000  4 Dy 2.28

2 | The following is a PBE calculation of an optimized crystal structure of TbDyNO, from the Open Quantum Materials Database.

a b c (Å): 4.2577 4.2577 8.0066
angles (deg): 90.00 90.00 90.00
Last column: nearest neighbours and their distance in Å.
Fractional coordinates of all 8 atoms:
1 Tb 0.2500 0.2500 0.1056  4 O 2.29
2 Tb 0.7500 0.7500 0.8944  4 O 2.29
3 Dy 0.2500 0.7500 0.5000  4 N 2.33
4 Dy 0.7500 0.2500 0.5000  4 N 2.33
5 N 0.2500 0.2500 0.6171  4 Dy 2.33
6 N 0.7500 0.7500 0.3829  4 Dy 2.33
7 O 0.2500 0.7500 0.0000  4 Tb 2.29
8 O 0.7500 0.2500 0.0000  4 Tb 2.29

Order from most stable to least stable according to the calculation: 2, 1